Entry 1:
LiHo4Pb5 | the Alexandria database | PBE-GGA | relaxed; total magnetization = 0.000 μB per formula unit; SG = I4 (79); raw total energy = -4.1056 eV/atom; calculated formation energy = -5.28 kcal/mol of atoms
1.0
-3.1492 -4.1407 3.5757
3.4603 -6.5292 1.0588
1.4293 0.4179 7.3149
Li Ho Pb
1 4 5
Direct
0.1651 0.0000 0.0000
0.3838 0.3929 0.7665
0.7767 0.7665 0.6071
0.1503 0.2335 0.3929
0.5431 0.6071 0.2335
0.8640 0.3622 0.8402
0.2262 0.8402 0.6378
0.7042 0.1598 0.3622
0.0664 0.6378 0.1598
0.6305 0.0000 0.0000

=====

Entry 2:
Li4HoPb2 | the Alexandria database | PBE-GGA | relaxed; total magnetization = 0.000 μB per formula unit; SG = R-3m (166); raw total energy = -3.1757 eV/atom; calculated formation energy = -8.50 kcal/mol of atoms
1.0
4.5648 0.0000 1.4261
2.0596 4.0737 1.4261
-0.0768 -0.0472 8.2643
Li Ho Pb
4 1 2
Direct
0.8632 0.8632 0.4103
0.1368 0.1368 0.5897
0.5791 0.5791 0.2627
0.4209 0.4209 0.7373
0.0000 0.0000 0.0000
0.7384 0.7384 0.7847
0.2616 0.2616 0.2153

=====

Entry 3:
Li6HoPb4 | the Alexandria database | PBE-GGA | relaxed; total magnetization = 0.001 μB per formula unit; SG = P-6m2 (187); raw total energy = -3.0689 eV/atom; calculated formation energy = -6.00 kcal/mol of atoms
1.0
3.2434 0.0000 0.0000
0.0000 9.5384 0.0000
0.0000 -4.7692 8.2605
Li Ho Pb
6 1 4
Direct
0.0000 0.5200 0.0400
0.5000 0.6300 0.8150
0.0000 0.5200 0.4800
0.0000 0.9600 0.4800
0.5000 0.1850 0.8150
0.5000 0.1850 0.3700
0.0000 0.0000 0.0000
0.5000 0.8270 0.6540
0.5000 0.3460 0.1730
0.5000 0.8270 0.1730
0.0000 0.3333 0.6667

=====

Entry 4:
Li6HoPb6 | the Alexandria database | PBE-GGA | relaxed; total magnetization = 0.000 μB per formula unit; SG = Immm (71); raw total energy = -3.2233 eV/atom; calculated formation energy = -6.37 kcal/mol of atoms
1.0
5.3916 0.0000 2.3544
2.4243 7.0190 1.7989
-0.1252 -0.1944 7.6372
Li Ho Pb
6 1 6
Direct
0.0000 0.5000 0.0000
0.5000 0.5000 0.0000
0.0000 0.0000 0.5000
0.5000 0.0000 0.5000
0.5000 0.7513 0.2487
0.5000 0.2487 0.7513
0.0000 0.0000 0.0000
0.3342 0.6658 0.6658
0.6658 0.3342 0.3342
0.0000 0.3392 0.6608
0.0000 0.6608 0.3392
0.3368 0.1632 0.1632
0.6632 0.8368 0.8368